A geometry-optimized Ba3C5 structure. Source: Alexandria via LeMat-Bulk, functional GGA-PBE.

The space group is Cmmm (No. 65) and the conventional cell measures 5.631, 17.429 and 4.040 Å, with angles of 90.00, 90.00 and 90.00 degrees. Symmetry generates all atoms from Ba at (0.000, 0.000, 0.000), Ba at (0.000, 0.330, 0.500), C at (0.000, 0.500, 0.000), C at (0.118, 0.500, 0.500) and C at (0.250, 0.250, 0.000).

The offset from the most stable computed form is 1.391 eV per atom. The formation enthalpy at 0 K is 1.60 eV per atom.